DFT (PBEsol) results for TaAgSb2 after structural relaxation.

Unit cell a=3.7923 b=3.7923 c=5.7516 alpha=90.00 beta=90.00 gamma=90.00
Fractional coordinates of all 4 atoms:
Ta1 0.0000 0.0000 0.4738
Ag1 0.5000 0.5000 0.7770
Sb1 0.5000 0.5000 0.2997
Sb2 0.0000 0.0000 0.9495

- Raw formation energy: 14.75 kJ per mole of atoms
- D(E_F): 1.76 states/eV per cell
- Crystal system: tetragonal
- Total magnetic moment: 0.00 μB per atom
- Calculated total energy: -24.37 eV for the cell shown

DFT (PBEsol) results for TcAgSb4 after structural relaxation.

Unit cell a=5.9872 b=5.9872 c=5.9872 alpha=60.00 beta=60.00 gamma=60.00
Fractional coordinates of all 6 atoms:
Sb1 0.3748 0.3748 0.8757
Sb2 0.8757 0.3748 0.3748
Ag1 0.0000 0.0000 0.0000
Sb3 0.3748 0.8757 0.3748
Sb4 0.3748 0.3748 0.3748
Tc1 0.7500 0.7500 0.7500

- Raw formation energy: 100.52 kJ per mole of atoms
- D(E_F): 5.35 states/eV per cell
- Crystal system: cubic
- Total magnetic moment: 0.53 μB per atom
- Calculated total energy: -26.56 eV for the cell shown

DFT (PBEsol) results for Ag3SbTe after structural relaxation.

Unit cell a=5.1803 b=5.1803 c=5.1803 alpha=90.00 beta=90.00 gamma=90.00
Fractional coordinates of all 5 atoms:
Ag1 0.0000 0.5000 0.0000
Te1 0.0000 0.0000 0.0000
Ag2 0.5000 0.0000 0.0000
Sb1 0.5000 0.5000 0.5000
Ag3 0.0000 0.0000 0.5000

- Raw formation energy: 65.59 kJ per mole of atoms
- D(E_F): 4.74 states/eV per cell
- Crystal system: cubic
- Total magnetic moment: 0.15 μB per atom
- Calculated total energy: -14.62 eV for the cell shown

DFT (PBEsol) results for AgSbTe after structural relaxation.

Unit cell a=4.9660 b=4.9660 c=4.9660 alpha=60.00 beta=60.00 gamma=60.00
Fractional coordinates of all 3 atoms:
Te1 0.0000 0.0000 0.0000
Sb1 0.7500 0.7500 0.7500
Ag1 0.5000 0.5000 0.5000

- Raw formation energy: 36.65 kJ per mole of atoms
- D(E_F): 1.54 states/eV per cell
- Energy relative to the lowest polymorph listed for this composition: 180 meV/atom
- Crystal system: cubic
- Total magnetic moment: 0.00 μB per atom
- Calculated total energy: -10.25 eV for the cell shown

- The lowest calculated total energy belongs to which entry?
  TcAgSb4

- calculated total energy of number 1 (TaAgSb2)?
  -24.37 eV for the cell shown

- Which value of total magnetic moment does entry 1 give?
  0.00 μB per atom